Here is an optimized crystal structure of Al2NiO4 from Alexandria. Energies are from PBE+U.

abc: 9.9589 5.7689 27.9837
angles: 90.00 90.11 90.00
Last column: nearest neighbours and their distance in Å.
Space group Cm (No. 8)
Unique sites:
Al: 0.0000 0.0000 0.0000  6 O 1.87-1.98
Al: 0.9996 0.0000 0.1913  4 O 1.79-1.86
Al: 0.0069 0.0000 0.3135  4 O 1.79-1.84
Al: 0.0769 0.2454 0.9179  6 O 1.87-2.01
Al: 0.0812 0.2500 0.4186  6 O 1.90-1.97
Al: 0.1558 0.5000 0.5239  4 O 1.79-1.84
Al: 0.1572 0.5000 0.8328  6 O 1.86-2.01
Al: 0.1625 0.5000 0.6450  4 O 1.80-1.84
Al: 0.1629 0.5000 0.0216  4 O 1.82-1.91
Al: 0.1791 0.5000 0.1482  4 O 1.78-1.82
Al: 0.2371 0.2522 0.7508  6 O 1.87-1.98
Al: 0.2534 0.2499 0.2526  6 O 1.90-1.98
Al: 0.3187 0.0000 0.8548  4 O 1.81-1.90
Al: 0.3277 0.0000 0.3578  4 O 1.79-1.84
Al: 0.3347 0.0000 0.4795  4 O 1.80-1.84
Al: 0.4092 0.2498 0.5848  6 O 1.90-1.97
Al: 0.4228 0.2480 0.0865  6 O 1.85-2.03
Al: 0.4835 0.5000 0.6904  4 O 1.79-1.84
Ni: 0.0031 0.5000 0.2524  6 O 2.04-2.07
Ni: 0.1592 0.0000 0.5847  6 O 2.03-2.07
Ni: 0.1672 0.5000 0.3354  6 O 2.03-2.08
Ni: 0.1736 0.0000 0.0861  6 O 2.01-2.07
Ni: 0.3230 0.0000 0.6682  6 O 2.04-2.09
Ni: 0.3311 0.5000 0.4185  6 O 2.04-2.07
Ni: 0.3305 0.5000 0.9182  6 O 2.02-2.07
Ni: 0.3328 0.0000 0.9827  4 O 1.94-1.97
Ni: 0.3392 0.0000 0.1690  6 O 2.04-2.10
Ni: 0.4892 0.0000 0.7508  6 O 2.02-2.08
Ni: 0.4903 0.5000 0.8124  4 O 1.94-1.98
Ni: 0.4950 0.5000 0.5016  6 O 2.03-2.08
O: 0.0015 0.5000 0.3798  3 Al 1.84-1.97
O: 0.0057 0.0000 0.8820  2 Al 1.87, 2 Ni 1.95-2.02
O: 0.0066 0.0000 0.3788  3 Al 1.83-1.97
O: 0.0089 0.5000 0.1248  3 Al 1.82-1.98
O: 0.0660 0.2524 0.5457  2 Al 1.79-1.91
O: 0.0762 0.2388 0.0431  3 Al 1.84-1.98
O: 0.0899 0.2715 0.7922  2 Al 1.86-1.87, 2 Ni 1.94-2.02
O: 0.0962 0.2472 0.2910  2 Al 1.79-1.90
O: 0.1487 0.0000 0.9571  3 Al 1.91-1.93, 1 Ni 1.97
O: 0.1544 0.5000 0.9567  3 Al 1.82-1.98
O: 0.1561 0.0000 0.7136  3 Al 1.84-1.96
O: 0.1556 0.5000 0.4581  3 Al 1.84-1.96
O: 0.1610 0.0000 0.4568  3 Al 1.84-1.96
O: 0.1622 0.5000 0.7094  3 Al 1.80-1.98
O: 0.1733 0.0000 0.2134  3 Al 1.84-1.98
O: 0.1790 0.5000 0.2134  3 Al 1.82-1.96
O: 0.2316 0.2604 0.8758  3 Al 1.83-1.98
O: 0.2380 0.2476 0.3795  2 Al 1.79-1.91
O: 0.2524 0.2517 0.6233  2 Al 1.80-1.90
O: 0.2663 0.2544 0.1252  2 Al 1.78-1.90
O: 0.3024 0.5000 0.7895  3 Al 1.89-1.91, 1 Ni 1.98
O: 0.3139 0.0000 0.7902  3 Al 1.81-1.98
O: 0.3276 0.0000 0.2919  3 Al 1.84-1.96
O: 0.3295 0.5000 0.5460  3 Al 1.84-1.97
O: 0.3335 0.5000 0.2908  3 Al 1.84-1.96
O: 0.3346 0.0000 0.5448  3 Al 1.83-1.97
O: 0.3442 0.5000 0.0440  4 Al 1.91-2.03
O: 0.3523 0.0000 0.0527  2 Al 1.85, 2 Ni 1.97-2.01
O: 0.3944 0.2529 0.7125  2 Al 1.79-1.90
O: 0.4101 0.2522 0.2132  2 Al 1.79-1.91
O: 0.4241 0.2474 0.4571  2 Al 1.80-1.90
O: 0.4308 0.2692 0.9601  2 Al 1.87-1.88, 2 Ni 1.94-2.04
O: 0.4838 0.5000 0.6245  3 Al 1.84-1.97
O: 0.4883 0.0000 0.6228  3 Al 1.84-1.96
O: 0.4973 0.5000 0.1249  3 Al 1.86-1.95, 1 Ni 2.07
O: 0.4989 0.0000 0.8775  4 Al 1.90-2.01

Values from the calculation:
The total magnetization is 48.0 μB per cell. The energy relative to the lowest polymorph listed for this composition comes out at 8.1 meV/atom.

Here is an optimized crystal structure of AlNiAgF6 from Alexandria. Energies are from PBE+U.

abc: 5.1833 5.1833 10.5305
angles: 90.00 90.00 120.00
Last column: nearest neighbours and their distance in Å.
Space group P-31c (No. 163)
Unique sites:
Al: 0.3333 0.6667 0.2500  6 F 1.84
Ni: 0.3333 0.6667 0.7500  6 F 2.03
Ag: 0.0000 0.0000 0.0000  6 F 2.51
F: 0.0281 0.3866 0.1521  1 Al 1.84, 1 Ni 2.03

Values from the calculation:
The total magnetization is 3.8 μB per cell. For the electronic total energy, the calculation gives -4.79 eV per atom.